# 1
DFT (PBE-GGA) results for crystalline Tc2WCl at its relaxed geometry.

a = 5.5394 Å, b = 5.5394 Å, c = 6.6588 Å
α = 65.42°, β = 65.42°, γ = 90.00°
Fractional positions:
Cl (0.5000, 0.5000, 0.0000)
Cl (0.2500, 0.7500, 0.5000)
Tc (0.3750, 0.3941, 0.7500)
Tc (0.6059, 0.1250, 0.2500)
Tc (0.1441, 0.6250, 0.2500)
Tc (0.8750, 0.8559, 0.7500)
W (0.7500, 0.2500, 0.5000)
W (0.0000, 0.0000, 0.0000)

Its space group is I-42d. The formation energy without anion corrections is 1.089 eV/atom. Its distance to the lowest polymorph of the same formula is 805 meV/atom.

=====

# 2
DFT (PBE-GGA) results for crystalline Tc2WCl at its relaxed geometry.

a = 5.1048 Å, b = 5.1048 Å, c = 2.8752 Å
α = 77.15°, β = 77.15°, γ = 116.15°
Fractional positions:
Tc (0.0000, 0.0000, 0.0000)
Tc (0.5000, 0.5000, 0.0000)
W (0.5000, 0.0000, 0.5000)
Cl (0.0000, 0.5000, 0.5000)

Its space group is C2/m. The formation energy without anion corrections is 0.852 eV/atom. Its distance to the lowest polymorph of the same formula is 568 meV/atom.

=====

# 3
DFT (PBE-GGA) results for crystalline TcWCl2 at its relaxed geometry.

a = 3.0935 Å, b = 3.0935 Å, c = 6.1230 Å
α = 90.00°, β = 90.00°, γ = 90.00°
Fractional positions:
Tc (0.5000, 0.5000, 0.2500)
W (0.5000, 0.5000, 0.7500)
Cl (0.0000, 0.0000, 0.9977)
Cl (0.0000, 0.0000, 0.5023)

Its space group is P4/mmm. The formation energy without anion corrections is 1.246 eV/atom. Its distance to the lowest polymorph of the same formula is 1478 meV/atom.

=====

# 4
DFT (PBE-GGA) results for crystalline TcWCl at its relaxed geometry.

a = 4.6276 Å, b = 4.6276 Å, c = 4.6276 Å
α = 143.32°, β = 127.19°, γ = 66.02°
Fractional positions:
Cl (0.0051, 0.0051, 0.0000)
Tc (0.6665, 0.6665, 0.0000)
W (0.3284, 0.3284, 0.0000)

Its space group is Imm2. The formation energy without anion corrections is 0.862 eV/atom. Its distance to the lowest polymorph of the same formula is 523 meV/atom.

=====

# 5
DFT (PBE-GGA) results for crystalline Tc2WCl at its relaxed geometry.

a = 5.2641 Å, b = 5.2641 Å, c = 5.2641 Å
α = 147.96°, β = 129.86°, γ = 60.75°
Fractional positions:
Tc (0.0172, 0.0172, 0.0000)
Tc (0.7574, 0.2574, 0.5000)
W (0.4755, 0.4755, 0.0000)
Cl (0.2498, 0.7498, 0.5000)

Its space group is Imm2. The formation energy without anion corrections is 0.608 eV/atom. Its distance to the lowest polymorph of the same formula is 324 meV/atom.

=====

# 6
DFT (PBE-GGA) results for crystalline TcWCl2 at its relaxed geometry.

a = 4.2915 Å, b = 2.8890 Å, c = 5.4621 Å
α = 101.81°, β = 90.00°, γ = 90.00°
Fractional positions:
Cl (0.0000, 0.9366, 0.0034)
Cl (0.0000, 0.5634, 0.4966)
W (0.5000, 0.7500, 0.7500)
Tc (0.5000, 0.2500, 0.2500)

Its space group is P2/m. The formation energy without anion corrections is 0.834 eV/atom. Its distance to the lowest polymorph of the same formula is 1065 meV/atom.

=====

# 7
DFT (PBE-GGA) results for crystalline TcWCl2 at its relaxed geometry.

a = 8.4614 Å, b = 8.4614 Å, c = 8.4614 Å
α = 20.25°, β = 20.25°, γ = 20.25°
Fractional positions:
W (0.5000, 0.5000, 0.5000)
Cl (0.9073, 0.9073, 0.9073)
Cl (0.0927, 0.0927, 0.0927)
Tc (0.0000, 0.0000, 0.0000)

Its space group is R-3m. The formation energy without anion corrections is 0.610 eV/atom. Its distance to the lowest polymorph of the same formula is 841 meV/atom.

=====

# 8
DFT (PBE-GGA) results for crystalline TcWCl2 at its relaxed geometry.

a = 3.0728 Å, b = 3.0728 Å, c = 8.7327 Å
α = 90.00°, β = 90.00°, γ = 125.12°
Fractional positions:
W (0.5000, 0.5000, 0.7500)
Cl (0.0000, 0.0000, 0.9886)
Cl (0.0000, 0.0000, 0.5114)
Tc (0.5000, 0.5000, 0.2500)

Its space group is Cmmm. The formation energy without anion corrections is 0.848 eV/atom. Its distance to the lowest polymorph of the same formula is 1079 meV/atom.

=====

# 9
DFT (PBE-GGA) results for crystalline Tc2WCl at its relaxed geometry.

a = 5.1463 Å, b = 5.1463 Å, c = 5.1463 Å
α = 137.54°, β = 137.54°, γ = 61.60°
Fractional positions:
Tc (0.2500, 0.7500, 0.5000)
Tc (0.0000, 0.0000, 0.0000)
Cl (0.7500, 0.2500, 0.5000)
W (0.5000, 0.5000, 0.0000)

Its space group is I-4m2. The formation energy without anion corrections is 1.057 eV/atom. Its distance to the lowest polymorph of the same formula is 773 meV/atom.

=====

# 10
DFT (PBE-GGA) results for crystalline TcWCl2 at its relaxed geometry.

a = 4.3685 Å, b = 4.3685 Å, c = 4.3685 Å
α = 109.93°, β = 109.93°, γ = 108.55°
Fractional positions:
Cl (0.0000, 0.0000, 0.0000)
Cl (0.2500, 0.7500, 0.5000)
Tc (0.5000, 0.5000, 0.0000)
W (0.7500, 0.2500, 0.5000)

Its space group is I-4m2. The formation energy without anion corrections is 0.893 eV/atom. Its distance to the lowest polymorph of the same formula is 1124 meV/atom.

=====

# 11
DFT (PBE-GGA) results for crystalline TcWCl2 at its relaxed geometry.

a = 2.9429 Å, b = 2.9429 Å, c = 8.7322 Å
α = 90.00°, β = 90.00°, γ = 90.01°
Fractional positions:
Cl (0.0000, 0.0000, 0.9176)
Cl (0.5000, 0.5000, 0.3316)
W (0.5000, 0.5000, 0.7259)
Tc (0.0000, 0.0000, 0.5250)

Its space group is P4mm. The formation energy without anion corrections is 0.019 eV/atom. Its distance to the lowest polymorph of the same formula is 250 meV/atom.

=====

# 12
DFT (PBE-GGA) results for crystalline YTc2Cl at its relaxed geometry.

a = 3.6002 Å, b = 3.6725 Å, c = 5.7704 Å
α = 90.00°, β = 90.00°, γ = 90.00°
Fractional positions:
Tc (0.0000, 0.0000, 0.0000)
Tc (0.5000, 0.5000, 0.0000)
Cl (0.0000, 0.5000, 0.5000)
Y (0.5000, 0.0000, 0.5000)

Its space group is Pmmm. The formation energy without anion corrections is 0.054 eV/atom. Its distance to the lowest polymorph of the same formula is 345 meV/atom.

=====

# 13
DFT (PBE-GGA) results for crystalline Y2TcCl at its relaxed geometry.

a = 8.5643 Å, b = 8.5643 Å, c = 8.5643 Å
α = 24.22°, β = 24.22°, γ = 24.22°
Fractional positions:
Y (0.4944, 0.4944, 0.4944)
Y (0.0056, 0.0056, 0.0056)
Cl (0.2500, 0.2500, 0.2500)
Tc (0.7500, 0.7500, 0.7500)

Its space group is R-3m. The formation energy without anion corrections is -0.610 eV/atom. Its distance to the lowest polymorph of the same formula is 135 meV/atom.

=====

# 14
DFT (PBE-GGA) results for crystalline Y2TcCl at its relaxed geometry.

a = 4.9730 Å, b = 4.9730 Å, c = 4.9730 Å
α = 60.00°, β = 60.00°, γ = 60.00°
Fractional positions:
Tc (0.5000, 0.5000, 0.5000)
Y (0.2500, 0.2500, 0.2500)
Y (0.7500, 0.7500, 0.7500)
Cl (0.0000, 0.0000, 0.0000)

Its space group is Fm-3m. The formation energy without anion corrections is -0.158 eV/atom. Its distance to the lowest polymorph of the same formula is 587 meV/atom.

=====

# 15
DFT (PBE-GGA) results for crystalline Y2TcCl at its relaxed geometry.

a = 3.4327 Å, b = 3.4327 Å, c = 7.8386 Å
α = 90.00°, β = 90.00°, γ = 94.42°
Fractional positions:
Tc (0.5000, 0.5000, 0.7500)
Y (0.0000, 0.0000, 0.9606)
Y (0.0000, 0.0000, 0.5394)
Cl (0.5000, 0.5000, 0.2500)

Its space group is Cmmm. The formation energy without anion corrections is -0.682 eV/atom. Its distance to the lowest polymorph of the same formula is 63 meV/atom.

=====

Number 1: mass density 8.3 Mg/m³. Number 2: mass density 11.3 Mg/m³. Number 3: mass density 10.0 Mg/m³. Number 4: mass density 11.3 Mg/m³. Number 5: mass density 11.7 Mg/m³. Number 6: mass density 8.8 Mg/m³. Number 7: mass density 9.2 Mg/m³. Number 8: mass density 8.7 Mg/m³. Number 9: mass density 11.2 Mg/m³. Number 10: mass density 9.1 Mg/m³. Number 11: mass density 7.7 Mg/m³. Number 12: mass density 7.0 Mg/m³. Number 13: mass density 5.6 Mg/m³. Number 14: mass density 5.9 Mg/m³. Number 15: mass density 5.6 Mg/m³.